Entry 1:
# Dy3SiPt4 (PBE-GGA, relaxed)
# - Raw total energy: -51.9 eV/cell
# - Magnetization: 0.00 μB/atom
data_Dy3SiPt4
_chemical_formula_sum 'Dy3 Si1 Pt4'
_cell_length_a 5.732
_cell_length_b 4.061
_cell_length_c 7.042
_cell_angle_alpha 90.00
_cell_angle_beta 92.48
_cell_angle_gamma 90.00
_space_group_name_H-M_alt 'P 1 m 1'
_space_group_IT_number 6
loop_
_space_group_symop_operation_xyz
'x,y,z'
'x,-y,z'
loop_
_atom_site_label
_atom_site_type_symbol
_atom_site_fract_x
_atom_site_fract_y
_atom_site_fract_z
Dy1 Dy 0.000 0.000 0.000
Dy2 Dy 0.246 0.000 0.500
Dy3 Dy 0.736 0.500 0.360
Si1 Si 0.493 0.500 0.827
Pt1 Pt 0.069 0.500 0.728
Pt2 Pt 0.227 0.500 0.215
Pt3 Pt 0.518 0.000 0.048
Pt4 Pt 0.704 0.000 0.663

Entry 2:
# ScMo3P (PBE-GGA, relaxed)
# - Raw total energy: -43.0 eV/cell
# - Magnetization: 0.00 μB/atom
data_ScMo3P
_chemical_formula_sum 'Sc1 Mo3 P1'
_cell_length_a 4.507
_cell_length_b 4.507
_cell_length_c 4.507
_cell_angle_alpha 90.00
_cell_angle_beta 90.00
_cell_angle_gamma 90.00
_space_group_name_H-M_alt 'P m -3 m'
_space_group_IT_number 221
_space_group_name_Hall '-P 4 2 3'
loop_
_atom_site_label
_atom_site_type_symbol
_atom_site_fract_x
_atom_site_fract_y
_atom_site_fract_z
Sc1 Sc 0.000 0.000 0.000
Mo1 Mo 0.000 0.500 0.500
P1 P 0.500 0.500 0.500

Entry 3:
# TmHfIr (PBE-GGA, relaxed)
# - Raw total energy: -87.2 eV/cell
# - ΔE_f: 1.475 eV per formula unit
# - Offset from the most stable computed form: 1165 meV per atom
# - Magnetization: 0.00 μB/atom
data_TmHfIr
_chemical_formula_sum 'Tm4 Hf4 Ir4'
_cell_length_a 6.450
_cell_length_b 6.450
_cell_length_c 6.450
_cell_angle_alpha 90.00
_cell_angle_beta 90.00
_cell_angle_gamma 90.00
_space_group_name_H-M_alt 'F -4 3 m'
_space_group_IT_number 216
_space_group_name_Hall 'F -4 2 3'
loop_
_atom_site_label
_atom_site_type_symbol
_atom_site_fract_x
_atom_site_fract_y
_atom_site_fract_z
Tm1 Tm 0.000 0.000 0.000
Hf1 Hf 0.250 0.250 0.750
Ir1 Ir 0.250 0.250 0.250

Entry 4:
# BaCuNiAs (PBE-GGA, relaxed)
# - Raw total energy: -60.9 eV/cell
# - Offset from the most stable computed form: 0 meV per atom
# - Magnetization: 0.00 μB/atom
data_BaCuNiAs
_chemical_formula_sum 'Ba4 Cu4 Ni4 As4'
_cell_length_a 6.875
_cell_length_b 6.875
_cell_length_c 6.875
_cell_angle_alpha 90.00
_cell_angle_beta 90.00
_cell_angle_gamma 90.00
_space_group_name_H-M_alt 'F -4 3 m'
_space_group_IT_number 216
_space_group_name_Hall 'F -4 2 3'
loop_
_atom_site_label
_atom_site_type_symbol
_atom_site_fract_x
_atom_site_fract_y
_atom_site_fract_z
Ba1 Ba 0.000 0.000 0.000
Cu1 Cu 0.250 0.250 0.250
Ni1 Ni 0.250 0.250 0.750
As1 As 0.000 0.000 0.500

Entry 5:
# GeWAu2 (PBE-GGA, relaxed)
# - Raw total energy: -87.9 eV/cell
# - Magnetization: 0.01 μB/atom
data_GeWAu2
_chemical_formula_sum 'Ge4 W4 Au8'
_cell_length_a 6.479
_cell_length_b 6.479
_cell_length_c 6.479
_cell_angle_alpha 90.00
_cell_angle_beta 90.00
_cell_angle_gamma 90.00
_space_group_name_H-M_alt 'F -4 3 m'
_space_group_IT_number 216
_space_group_name_Hall 'F -4 2 3'
loop_
_atom_site_label
_atom_site_type_symbol
_atom_site_fract_x
_atom_site_fract_y
_atom_site_fract_z
Ge1 Ge 0.000 0.000 0.000
W1 W 0.250 0.250 0.250
Au1 Au 0.000 0.000 0.500
Au2 Au 0.250 0.250 0.750

Entry 6:
# YHoInNi2 (PBE-GGA, relaxed)
# - Raw total energy: -55.3 eV/cell
# - Magnetization: 0.00 μB/atom
data_YHoInNi2
_chemical_formula_sum 'Y2 Ho2 In2 Ni4'
_cell_length_a 3.681
_cell_length_b 3.893
_cell_length_c 14.166
_cell_angle_alpha 90.00
_cell_angle_beta 90.00
_cell_angle_gamma 90.00
_space_group_name_H-M_alt 'A m m 2'
_space_group_IT_number 38
loop_
_space_group_symop_operation_xyz
'x,y,z'
'-x,-y,z'
'-x,y,z'
'x,-y,z'
'x,y+1/2,z+1/2'
'-x,-y+1/2,z+1/2'
'-x,y+1/2,z+1/2'
'x,-y+1/2,z+1/2'
loop_
_atom_site_label
_atom_site_type_symbol
_atom_site_fract_x
_atom_site_fract_y
_atom_site_fract_z
Y1 Y 0.000 0.000 0.000
Ho1 Ho 0.000 0.000 0.724
In1 In 0.500 0.000 0.362
Ni1 Ni 0.500 0.000 0.165
Ni2 Ni 0.500 0.000 0.563

Q: magnetization of number 2 (ScMo3P)?
A: 0.00 μB/atom